[1]
This record from the Alexandria database describes crystalline TlSbPd5 at its relaxed geometry. The functional is GGA-PBE.

Structure (POSCAR):
```
TlSbPd5
1.0
-4.154 -3.163 4.313
3.624 -5.721 0.003
3.137 -1.716 6.680
Tl Pd Sb
2 10 2
direct
0.473 0.527 0.750 Tl
0.527 0.473 0.250 Tl
0.182 0.410 0.169 Pd
0.813 0.187 0.250 Pd
0.833 0.365 0.530 Pd
0.365 0.833 0.030 Pd
0.410 0.182 0.669 Pd
0.635 0.167 0.970 Pd
0.187 0.813 0.750 Pd
0.818 0.590 0.831 Pd
0.167 0.635 0.470 Pd
0.590 0.818 0.331 Pd
0.000 0.000 0.500 Sb
0.000 0.000 0.000 Sb
```

Properties
Space-group type: No. 15
Density of states at the Fermi level in states/eV/cell: 6.9
Size of the total moment in μB/f.u.: 0.00
ΔE_f (raw) in kJ/mol of atoms: 1
Total energy in eV for the cell shown: -64.7
Crystal system: monoclinic


[2]
This record from the Alexandria database describes crystalline Tl2SbPd2 at its relaxed geometry. The functional is GGA-PBE.

Structure (POSCAR):
```
Tl2SbPd2
1.0
-5.266 -4.914 -2.903
0.891 -4.610 6.185
-2.629 1.801 1.721
Tl Sb Pd
4 2 4
direct
0.343 0.157 0.500 Tl
0.157 0.657 0.500 Tl
0.843 0.343 0.500 Tl
0.657 0.843 0.500 Tl
0.000 0.000 0.000 Sb
0.500 0.500 0.000 Sb
0.643 0.143 0.000 Pd
0.857 0.643 0.000 Pd
0.143 0.357 0.000 Pd
0.357 0.857 0.000 Pd
```

Properties
Energy above the lowest structure with this stoichiometry in meV per atom: 0
Space-group type: No. 127
Density of states at the Fermi level in states/eV/cell: 5.2
Size of the total moment in μB/f.u.: 0.00
ΔE_f (raw) in kJ/mol of atoms: -8
Total energy in eV for the cell shown: -39.3
Crystal system: tetragonal


[3]
This record from the Alexandria database describes crystalline Tl2SbPd3 at its relaxed geometry. The functional is GGA-PBE.

Structure (POSCAR):
```
Tl2SbPd3
1.0
6.611 0.000 0.000
0.000 5.494 -1.772
-3.305 -3.446 8.012
Sb Tl Pd
2 4 6
direct
0.272 0.250 0.000 Sb
0.728 0.750 0.000 Sb
0.557 0.166 0.416 Tl
0.443 0.834 0.584 Tl
0.141 0.334 0.584 Tl
0.859 0.666 0.416 Tl
0.115 0.731 0.231 Pd
0.677 0.250 0.000 Pd
0.323 0.750 0.000 Pd
0.884 0.769 0.769 Pd
0.885 0.269 0.769 Pd
0.116 0.231 0.231 Pd
```

Properties
Energy above the lowest structure with this stoichiometry in meV per atom: 0
Space-group type: No. 15
Density of states at the Fermi level in states/eV/cell: 6.1
Size of the total moment in μB/f.u.: 0.00
ΔE_f (raw) in kJ/mol of atoms: -26
Total energy in eV for the cell shown: -52.1
Crystal system: monoclinic


[4]
This record from the Alexandria database describes crystalline TlSbPd at its relaxed geometry. The functional is GGA-PBE.

Structure (POSCAR):
```
TlSbPd
1.0
3.362 0.000 0.000
0.000 3.362 0.000
-1.681 -1.681 6.620
Pd Tl Sb
1 1 1
direct
0.686 0.686 0.372 Pd
0.023 0.023 0.047 Tl
0.291 0.291 0.581 Sb
```

Properties
Energy above the lowest structure with this stoichiometry in meV per atom: 107
Space-group type: No. 107
Density of states at the Fermi level in states/eV/cell: 1.5
Size of the total moment in μB/f.u.: 0.00
ΔE_f (raw) in kJ/mol of atoms: -16
Total energy in eV for the cell shown: -12.2
Crystal system: tetragonal


[5]
This record from the Alexandria database describes crystalline TlSb2Pd2 at its relaxed geometry. The functional is GGA-PBE.

Structure (POSCAR):
```
TlSb2Pd2
1.0
-2.457 -4.052 -0.923
3.098 -1.072 -3.544
3.366 -5.197 1.227
Pd Sb Tl
2 2 1
direct
0.633 0.633 0.735 Pd
0.367 0.367 0.265 Pd
0.750 0.250 0.500 Sb
0.250 0.750 0.500 Sb
0.000 0.000 0.000 Tl
```

Properties
Energy above the lowest structure with this stoichiometry in meV per atom: 90
Space-group type: No. 139
Density of states at the Fermi level in states/eV/cell: 2.3
Size of the total moment in μB/f.u.: 0.00
ΔE_f (raw) in kJ/mol of atoms: -16
Total energy in eV for the cell shown: -21.8
Crystal system: tetragonal


[6]
This record from the Alexandria database describes crystalline Tl2Sb2Pd at its relaxed geometry. The functional is GGA-PBE.

Structure (POSCAR):
```
Tl2Sb2Pd
1.0
-2.317 3.356 0.053
-3.276 -2.247 -0.925
-4.411 -0.698 8.330
Pd Tl Sb
1 2 2
direct
0.000 0.000 0.000 Pd
0.414 0.414 0.172 Tl
0.586 0.586 0.828 Tl
0.750 0.250 0.500 Sb
0.250 0.750 0.500 Sb
```

Properties
Energy above the lowest structure with this stoichiometry in meV per atom: 363
Space-group type: No. 139
Density of states at the Fermi level in states/eV/cell: 4.2
Size of the total moment in μB/f.u.: 0.00
ΔE_f (raw) in kJ/mol of atoms: 26
Total energy in eV for the cell shown: -16.8
Crystal system: tetragonal


[7]
This record from the Alexandria database describes crystalline Tl2SbPd2 at its relaxed geometry. The functional is GGA-PBE.

Structure (POSCAR):
```
Tl2SbPd2
1.0
8.406 0.000 0.000
0.000 8.406 0.000
0.000 0.000 3.101
Tl Pd Sb
4 4 2
direct
0.850 0.650 0.000 Tl
0.350 0.850 0.000 Tl
0.650 0.150 0.000 Tl
0.150 0.350 0.000 Tl
0.356 0.144 0.500 Pd
0.856 0.356 0.500 Pd
0.644 0.856 0.500 Pd
0.144 0.644 0.500 Pd
0.000 0.000 0.000 Sb
0.500 0.500 0.000 Sb
```

Properties
Energy above the lowest structure with this stoichiometry in meV per atom: 138
Space-group type: No. 127
Density of states at the Fermi level in states/eV/cell: 4.1
Size of the total moment in μB/f.u.: 0.00
ΔE_f (raw) in kJ/mol of atoms: 5
Total energy in eV for the cell shown: -38.0
Crystal system: tetragonal


[8]
This record from the Alexandria database describes crystalline Tl2SbPd6 at its relaxed geometry. The functional is GGA-PBE.

Structure (POSCAR):
```
Tl2SbPd6
1.0
4.339 0.000 0.000
2.170 4.425 0.340
2.170 2.301 8.624
Pd Sb Tl
6 1 2
direct
0.651 0.763 0.935 Pd
0.654 0.105 0.588 Pd
0.346 0.895 0.412 Pd
0.349 0.237 0.065 Pd
0.022 0.788 0.169 Pd
0.978 0.212 0.831 Pd
0.000 0.500 0.500 Sb
0.702 0.354 0.241 Tl
0.298 0.646 0.759 Tl
```

Properties
Space-group type: No. 12
Density of states at the Fermi level in states/eV/cell: 4.6
Size of the total moment in μB/f.u.: 0.00
ΔE_f (raw) in kJ/mol of atoms: -18
Total energy in eV for the cell shown: -41.7
Crystal system: monoclinic


[9]
This record from the Alexandria database describes crystalline TlSb3Pd at its relaxed geometry. The functional is GGA-PBE.

Structure (POSCAR):
```
TlSb3Pd
1.0
-3.190 0.082 -5.389
5.042 -2.183 -3.018
-2.100 -6.432 1.145
Tl Sb Pd
2 6 2
direct
0.961 0.956 0.201 Tl
0.461 0.396 0.701 Tl
0.958 0.459 0.454 Sb
0.958 0.459 0.948 Sb
0.849 0.046 0.701 Sb
0.458 0.894 0.448 Sb
0.349 0.307 0.201 Sb
0.458 0.894 0.954 Sb
0.653 0.608 0.201 Pd
0.153 0.745 0.701 Pd
```

Properties
Energy above the lowest structure with this stoichiometry in meV per atom: 0
Space-group type: No. 31
Density of states at the Fermi level in states/eV/cell: 3.3
Size of the total moment in μB/f.u.: 0.00
ΔE_f (raw) in kJ/mol of atoms: -11
Total energy in eV for the cell shown: -41.0
Crystal system: orthorhombic


[10]
This record from the Alexandria database describes crystalline Tl2Sb2Pd3 at its relaxed geometry. The functional is GGA-PBE.

Structure (POSCAR):
```
Tl2Sb2Pd3
1.0
3.485 -0.001 -0.003
-1.733 7.125 0.533
-0.003 -0.381 6.366
Sb Tl Pd
2 2 3
direct
0.650 0.297 0.946 Sb
0.350 0.703 0.054 Sb
0.101 0.195 0.403 Tl
0.899 0.805 0.597 Tl
0.245 0.490 0.691 Pd
0.755 0.510 0.309 Pd
0.000 0.000 0.000 Pd
```

Properties
Space-group type: No. 2
Density of states at the Fermi level in states/eV/cell: 3.0
Size of the total moment in μB/f.u.: 0.00
ΔE_f (raw) in kJ/mol of atoms: -22
Total energy in eV for the cell shown: -30.2
Crystal system: triclinic


- What is the formula in the seventh record?
  Tl2SbPd2